TlBSN2: relaxed, PBE-GGA.

Cell lengths 4.329, 4.329, 5.543 Å; angles 90.00, 90.00, 90.00 degrees
Fractional coordinates of all 5 atoms:
Tl 0.000 0.000 0.000
B 0.500 0.500 0.500
S 0.000 0.000 0.500
N 0.000 0.500 0.000
N 0.500 0.000 0.000

Calculated values
density of states at the Fermi level = 3.341 states/eV per cell
total DFT energy (no corrections) = -3.26 eV per atom
total moment = 3.67 Bohr magnetons per cell

---

Zn2FePt8: relaxed, PBE-GGA.

Cell lengths 8.421, 8.421, 5.589 Å; angles 107.29, 107.29, 27.40 degrees
Fractional coordinates of all 11 atoms:
Zn 0.187 0.187 0.247
Zn 0.813 0.813 0.753
Fe 0.500 0.500 0.500
Pt 0.024 0.024 0.247
Pt 0.213 0.213 0.809
Pt 0.354 0.354 0.527
Pt 0.393 0.393 0.063
Pt 0.607 0.607 0.937
Pt 0.646 0.646 0.473
Pt 0.787 0.787 0.191
Pt 0.976 0.976 0.753

Calculated values
density of states at the Fermi level = 8.542 states/eV per cell
total DFT energy (no corrections) = -5.52 eV per atom
total moment = 4.52 Bohr magnetons per cell

---

Rb2NbMo: relaxed, PBE-GGA.

Cell lengths 9.740, 9.740, 9.740 Å; angles 93.35, 93.35, 152.02 degrees
Fractional coordinates of all 8 atoms:
Rb 0.375 0.208 0.333
Rb 0.792 0.125 0.167
Rb 0.875 0.042 0.667
Rb 0.958 0.625 0.833
Nb 0.250 0.750 0.500
Nb 0.500 0.500 0.000
Mo 0.000 0.000 0.000
Mo 0.750 0.250 0.500

Calculated values
density of states at the Fermi level = 10.297 states/eV per cell
total DFT energy (no corrections) = -4.11 eV per atom
total moment = 0.50 Bohr magnetons per cell

---

TbAl2ZnCu4: relaxed, PBE-GGA.

Cell lengths 8.700, 8.700, 8.700 Å; angles 27.70, 27.70, 27.70 degrees
Fractional coordinates of all 8 atoms:
Tb 0.000 0.000 0.000
Al 0.242 0.242 0.242
Al 0.758 0.758 0.758
Zn 0.500 0.500 0.500
Cu 0.132 0.132 0.132
Cu 0.402 0.402 0.402
Cu 0.598 0.598 0.598
Cu 0.868 0.868 0.868

Calculated values
density of states at the Fermi level = 4.013 states/eV per cell
total DFT energy (no corrections) = -3.97 eV per atom
total moment = 0.00 Bohr magnetons per cell

---

PuHfIn2: relaxed, PBE-GGA.

Cell lengths 10.869, 10.869, 10.869 Å; angles 17.07, 17.07, 17.07 degrees
Fractional coordinates of all 4 atoms:
Pu 0.000 0.000 0.000
Hf 0.500 0.500 0.500
In 0.246 0.246 0.246
In 0.754 0.754 0.754

Calculated values
density of states at the Fermi level = 9.335 states/eV per cell
total DFT energy (no corrections) = -7.47 eV per atom
total moment = 5.75 Bohr magnetons per cell

---

MgIn2B: relaxed, PBE-GGA.

Cell lengths 4.863, 4.863, 4.863 Å; angles 60.00, 60.00, 60.00 degrees
Fractional coordinates of all 4 atoms:
Mg 0.000 0.000 0.000
In 0.250 0.250 0.250
In 0.750 0.750 0.750
B 0.500 0.500 0.500

Calculated values
density of states at the Fermi level = 3.169 states/eV per cell
total DFT energy (no corrections) = -2.63 eV per atom
total moment = 0.00 Bohr magnetons per cell

---

MnCd2Se: relaxed, PBE-GGA.

Cell lengths 4.908, 4.908, 4.908 Å; angles 60.00, 60.00, 60.00 degrees
Fractional coordinates of all 4 atoms:
Mn 0.000 0.000 0.000
Cd 0.500 0.500 0.500
Cd 0.750 0.750 0.750
Se 0.250 0.250 0.250

Calculated values
density of states at the Fermi level = 2.905 states/eV per cell
total DFT energy (no corrections) = -3.36 eV per atom
total moment = 3.92 Bohr magnetons per cell

---

ScCrSi: relaxed, PBE-GGA.

Cell lengths 4.250, 4.250, 3.178 Å; angles 90.00, 90.00, 120.00 degrees
Fractional coordinates of all 3 atoms:
Sc 0.000 0.000 0.000
Cr 0.333 0.667 0.500
Si 0.667 0.333 0.500

Calculated values
density of states at the Fermi level = 2.323 states/eV per cell
total DFT energy (no corrections) = -7.36 eV per atom
total moment = 2.71 Bohr magnetons per cell

---

Hf2TaAlH: relaxed, PBE-GGA.

Cell lengths 4.138, 4.138, 4.646 Å; angles 90.00, 90.00, 90.00 degrees
Fractional coordinates of all 5 atoms:
Hf 0.000 0.500 0.000
Hf 0.500 0.000 0.000
Ta 0.000 0.000 0.500
Al 0.500 0.500 0.500
H 0.500 0.500 0.000

Calculated values
density of states at the Fermi level = 4.424 states/eV per cell
total DFT energy (no corrections) = -7.90 eV per atom
total moment = 0.00 Bohr magnetons per cell

---

Sm8InSn5: relaxed, PBE-GGA.

Cell lengths 8.221, 8.221, 8.221 Å; angles 109.50, 109.50, 109.41 degrees
Fractional coordinates of all 14 atoms:
Sm 0.120 0.374 0.108
Sm 0.124 0.378 0.608
Sm 0.266 0.012 0.892
Sm 0.484 0.876 0.254
Sm 0.622 0.230 0.746
Sm 0.626 0.734 0.746
Sm 0.770 0.516 0.392
Sm 0.988 0.880 0.254
In 0.500 0.500 0.000
Sn 0.250 0.750 0.500
Sn 0.376 0.253 0.375
Sn 0.747 0.122 0.123
Sn 0.878 0.001 0.625
Sn 0.999 0.624 0.877

Calculated values
density of states at the Fermi level = 10.016 states/eV per cell
total DFT energy (no corrections) = -4.99 eV per atom
total moment = 0.00 Bohr magnetons per cell

---

Li3MgHg4: relaxed, PBE-GGA.

Cell lengths 3.353, 3.353, 13.573 Å; angles 90.00, 90.00, 90.00 degrees
Fractional coordinates of all 8 atoms:
Li 0.000 0.000 0.000
Li 0.000 0.000 0.242
Li 0.000 0.000 0.758
Mg 0.000 0.000 0.500
Hg 0.500 0.500 0.121
Hg 0.500 0.500 0.360
Hg 0.500 0.500 0.640
Hg 0.500 0.500 0.879

Calculated values
density of states at the Fermi level = 1.428 states/eV per cell
total DFT energy (no corrections) = -1.42 eV per atom
total moment = 0.00 Bohr magnetons per cell

---

BaTl5: relaxed, PBE-GGA.

Cell lengths 6.449, 6.449, 7.333 Å; angles 111.09, 111.09, 44.91 degrees
Fractional coordinates of all 6 atoms:
Ba 0.000 0.000 0.000
Tl 0.000 0.000 0.500
Tl 0.315 0.315 0.655
Tl 0.340 0.340 0.197
Tl 0.660 0.660 0.803
Tl 0.685 0.685 0.345

Calculated values
density of states at the Fermi level = 3.042 states/eV per cell
total DFT energy (no corrections) = -2.47 eV per atom
total moment = 0.00 Bohr magnetons per cell